1.
The following is a GGA+U calculation of an optimized crystal structure of SrLi2MnO4, from the Alexandria database.

The structure in extended XYZ format:
```
8
Lattice="-1.4723 -3.9454 2.9084 4.4094 2.3134 1.1824 -2.7480 4.3094 0.2668" Properties=species:S:1:pos:R:3 pbc="T T T"
Li 1.8839 0.8397 2.4077
Li -1.6948 1.8377 1.9499
Sr 0.0000 0.0000 0.0000
O -0.1256 0.7022 2.5127
O -0.7853 2.5865 0.3127
O 1.8955 1.8389 0.6557
O 0.8661 4.1727 2.3258
Mn 0.8307 3.3114 0.7246
```

Magnetization (Bohr magnetons per cell): 3.000
Space-group type: I-42m
E_tot (eV for the cell shown): -48.1

---

2.
The following is a GGA+U calculation of an optimized crystal structure of LiTaMn2O6, from the Alexandria database.

The structure in extended XYZ format:
```
10
Lattice="-0.7753 4.0091 -3.0522 0.2817 -0.5701 -5.0440 -4.6748 0.1353 -2.9373" Properties=species:S:1:pos:R:3 pbc="T T T"
O -1.6255 3.3417 -6.5254
O -0.9921 0.4752 -6.0198
O -3.4938 0.4263 -4.5988
O -4.0503 2.9337 -5.0882
O -1.4948 2.3357 -3.7735
O -3.5809 1.2610 -7.0409
Ta -0.4384 1.0912 -2.7510
Mn -2.4135 1.8225 -5.4997
Mn -4.4757 0.1940 -2.9208
Li -3.1814 2.8279 -8.2545
```

Magnetization (Bohr magnetons per cell): 4.000
Space-group type: P1
E_tot (eV for the cell shown): -76.7

---

3.
The following is a GGA+U calculation of an optimized crystal structure of LiTbMn2O4, from the Alexandria database.

The structure in extended XYZ format:
```
8
Lattice="-0.4545 -0.4811 -3.2598 -5.2228 -1.2988 0.9198 0.2191 5.4571 -0.8359" Properties=species:S:1:pos:R:3 pbc="T T T"
O -3.9408 2.7775 -1.5576
O -1.5174 0.8997 -1.6183
O -1.1394 3.8197 -0.4049
O -3.8643 0.3386 0.4888
Li 0.0000 0.0000 0.0000
Mn -2.5019 2.0792 0.0419
Mn -0.1177 2.4880 -2.0478
Tb -2.8387 -0.8899 -1.1700
```

Magnetization (Bohr magnetons per cell): 10.000
Space-group type: P2/m
DOS at the Fermi energy (states/eV per cell): 0.00
E_tot (eV for the cell shown): -59.1